Entry from Alexandria via LeMat-Bulk: crystalline BaSb2Au6 at its relaxed geometry (PBE).

The calculation puts the excess energy over the best structure of this formula in the dataset at 0.601 eV/f.u. For the density of states at the Fermi level, the calculation gives 4.199 states/eV/f.u.

It has space group Immm (No. 71), with a = 4.4394 Å, b = 7.4229 Å, c = 13.7615 Å, α = 90.00°, β = 90.00° and γ = 90.00°. The inequivalent atoms are Ba at (0.0000, 0.0000, 0.0000), Sb at (0.0000, 0.5000, 0.1429), Au at (0.0000, 0.1839, 0.5000) and Au at (0.0000, 0.2983, 0.3130).

=====

Entry from Alexandria via LeMat-Bulk: crystalline MgRu2S2 at its relaxed geometry (PBE).

The calculation puts the excess energy over the best structure of this formula in the dataset at 0.000 eV/f.u. For the density of states at the Fermi level, the calculation gives 2.612 states/eV/f.u.

It has space group I4/mmm (No. 139), with a = 3.9665 Å, b = 3.9665 Å, c = 10.7658 Å, α = 90.00°, β = 90.00° and γ = 90.00°. The inequivalent atoms are Mg at (0.0000, 0.0000, 0.0000), Ru at (0.0000, 0.5000, 0.2500) and S at (0.0000, 0.0000, 0.3640).

=====

Entry from Alexandria via LeMat-Bulk: crystalline LiSmYTm at its relaxed geometry (PBE).

The calculation puts the formation energy at 0.160 eV per atom. For the density of states at the Fermi level, the calculation gives 3.570 states/eV/f.u.

It has space group F-43m (No. 216), with a = 7.7674 Å, b = 7.7674 Å, c = 7.7674 Å, α = 90.00°, β = 90.00° and γ = 90.00°. The inequivalent atoms are Li at (0.0000, 0.0000, 0.0000), Sm at (0.2500, 0.2500, 0.2500), Y at (0.2500, 0.2500, 0.7500) and Tm at (0.0000, 0.0000, 0.5000).

=====

Entry from Alexandria via LeMat-Bulk: crystalline LaPm4Y3 at its relaxed geometry (PBE).

The calculation puts the formation energy at 0.082 eV per atom. The calculation puts the excess energy over the best structure of this formula in the dataset at 0.456 eV/f.u. For the density of states at the Fermi level, the calculation gives 13.529 states/eV/f.u.

It has space group C2/m (No. 12), with a = 16.5369 Å, b = 5.8321 Å, c = 6.0771 Å, α = 90.00°, β = 110.59° and γ = 90.00°. The inequivalent atoms are La at (0.0000, 0.0000, 0.0000), Pm at (0.1340, 0.0000, 0.6887), Pm at (0.2480, 0.5000, 0.6802), Y at (0.0000, 0.5000, 0.5000) and Y at (0.1331, 0.5000, 0.0814).

=====

Entry from Alexandria via LeMat-Bulk: crystalline Fe7Co2Ni2 at its relaxed geometry (PBE).

The calculation puts the formation energy at 0.099 eV per atom. The calculation puts the excess energy over the best structure of this formula in the dataset at 0.000 eV/f.u. For the density of states at the Fermi level, the calculation gives 8.591 states/eV/f.u.

It has space group Imm2 (No. 44), with a = 3.9511 Å, b = 11.7886 Å, c = 5.6645 Å, α = 90.00°, β = 90.00° and γ = 90.00°. The inequivalent atoms are Fe at (0.0000, 0.0000, 0.0000), Fe at (0.0000, 0.1588, 0.2930), Fe at (0.0000, 0.3339, 0.5317), Fe at (0.0000, 0.3496, 0.0636), Co at (0.0000, 0.1804, 0.7999), Ni at (0.0000, 0.0000, 0.5660) and Ni at (0.0000, 0.5000, 0.7762).

=====

Entry from Alexandria via LeMat-Bulk: crystalline Li2PaAgCl8 at its relaxed geometry (PBE).

Its total energy is -4.17 eV/atom.

It has space group P-1 (No. 2), with a = 6.5601 Å, b = 7.0223 Å, c = 9.3413 Å, α = 68.45°, β = 84.60° and γ = 71.08°. The inequivalent atoms are Li at (0.0448, 0.1373, 0.3294), Pa at (0.5000, 0.5000, 0.0000), Ag at (0.5000, 0.5000, 0.5000), Cl at (0.1281, 0.7877, 0.9156), Cl at (0.1455, 0.7614, 0.4689), Cl at (0.3433, 0.2954, 0.2534) and Cl at (0.4083, 0.2874, 0.8630).

=====

Entry from Alexandria via LeMat-Bulk: crystalline CeDy5Cd6 at its relaxed geometry (PBE).

The calculation puts the formation energy at -0.278 eV per atom. For the density of states at the Fermi level, the calculation gives 19.577 states/eV/f.u.

It has space group Immm (No. 71), with a = 5.2784 Å, b = 7.5977 Å, c = 15.8507 Å, α = 90.00°, β = 90.00° and γ = 90.00°. The inequivalent atoms are Ce at (0.0000, 0.0000, 0.0000), Dy at (0.0000, 0.0000, 0.3312), Dy at (0.0000, 0.5000, 0.0000), Dy at (0.0000, 0.5000, 0.3388), Cd at (0.0000, 0.2347, 0.5000) and Cd at (0.0000, 0.2581, 0.1703).

=====

Entry from Alexandria via LeMat-Bulk: crystalline ZrGaTe2Se at its relaxed geometry (PBE).

Its total energy is -3.70 eV/atom. For the density of states at the Fermi level, the calculation gives 6.948 states/eV/f.u.

It has space group P4/mmm (No. 123), with a = 5.1903 Å, b = 5.1903 Å, c = 5.3589 Å, α = 90.00°, β = 90.00° and γ = 90.00°. The inequivalent atoms are Zr at (0.0000, 0.0000, 0.0000), Ga at (0.0000, 0.0000, 0.5000), Te at (0.0000, 0.5000, 0.5000) and Se at (0.5000, 0.5000, 0.0000).